(1)
First-principles (PBE) data for LaIn2Os after structural relaxation, as listed in Alexandria via LeMat-Bulk.

Cell lengths 5.059, 5.059, 5.059 Å; angles 120.34, 120.34, 89.42 degrees
Element x y z (fractional)
In 0.000 0.000 0.000
In 0.250 0.750 0.500
La 0.500 0.500 0.000
Os 0.750 0.250 0.500

Properties
space-group type	I-4m2 (119)
formation enthalpy at 0 K	70.9	kJ/mol of formula units

---

(2)
First-principles (PBE) data for KCoN2 after structural relaxation, as listed in Alexandria via LeMat-Bulk.

Cell lengths 4.043, 4.043, 4.043 Å; angles 60.00, 60.00, 60.00 degrees
Each line ends with the local moment (μB).
Element x y z (fractional)
K 0.000 0.000 0.000  -0.02
Co 0.500 0.500 0.500  1.55
N 0.250 0.250 0.250  -0.53
N 0.750 0.750 0.750  -0.53

Properties
energy above the most stable polymorph in this dataset	1595	meV per atom
space-group type	Fm-3m (225)
uncorrected formation energy	1.853	eV per atom

---

(3)
First-principles (PBE) data for Mg2InPb4 after structural relaxation, as listed in Alexandria via LeMat-Bulk.

Cell lengths 6.871, 6.486, 6.486 Å; angles 73.70, 58.01, 58.01 degrees
Element x y z (fractional)
Mg 0.000 0.500 0.500
Mg 0.500 0.500 0.500
In 0.000 0.000 0.000
Pb 0.500 0.500 0.000
Pb 0.000 0.000 0.500
Pb 0.500 0.000 0.500
Pb 0.000 0.500 0.000

Properties
energy above the most stable polymorph in this dataset	69	meV per atom
space-group type	I4/mmm (139)
formation enthalpy at 0 K	32.0	kJ/mol of formula units

---

(4)
First-principles (PBE) data for Ni2SbOs after structural relaxation, as listed in Alexandria via LeMat-Bulk.

Cell lengths 2.850, 2.850, 7.363 Å; angles 90.00, 90.00, 89.99 degrees
Element x y z (fractional)
Ni 0.000 0.000 0.029
Ni 0.000 0.000 0.471
Os 0.500 0.500 0.250
Sb 0.500 0.500 0.750

Properties
space-group type	P4/mmm (123)
uncorrected formation energy	0.378	eV per atom

---

(5)
First-principles (PBE) data for ScFeAs2Se after structural relaxation, as listed in Alexandria via LeMat-Bulk.

Cell lengths 4.411, 4.411, 5.238 Å; angles 90.00, 90.00, 90.00 degrees
Each line ends with the local moment (μB).
Element x y z (fractional)
Sc 0.500 0.500 0.500  0.15
As 0.000 0.500 0.000  -0.01
As 0.500 0.000 0.000  -0.01
Fe 0.000 0.000 0.000  0.46
Se 0.000 0.000 0.500  -0.02

Properties
energy above the most stable polymorph in this dataset	0	meV per atom
space-group type	P4/mmm (123)
uncorrected formation energy	-0.053	eV per atom

---

(6)
First-principles (PBE) data for Hg4TeI3 after structural relaxation, as listed in Alexandria via LeMat-Bulk.

Cell lengths 6.578, 7.941, 11.812 Å; angles 90.00, 90.00, 90.00 degrees
Element x y z (fractional)
Hg 0.065 0.877 0.000
Hg 0.565 0.237 0.000
Hg 0.064 0.238 0.247
Hg 0.564 0.762 0.253
Hg 0.065 0.763 0.500
Hg 0.565 0.123 0.500
Hg 0.564 0.762 0.747
Hg 0.064 0.238 0.753
Te 0.064 0.228 0.000
Te 0.564 0.772 0.500
I 0.564 0.779 0.000
I 0.064 0.693 0.208
I 0.564 0.307 0.292
I 0.064 0.221 0.500
I 0.564 0.307 0.708
I 0.064 0.693 0.792

Properties
space-group type	Pmmn (59)
uncorrected formation energy	-0.124	eV per atom

---

(7)
First-principles (PBE) data for CrCSe2 after structural relaxation, as listed in Alexandria via LeMat-Bulk.

Cell lengths 5.218, 5.218, 6.139 Å; angles 64.85, 64.85, 90.00 degrees
Each line ends with the local moment (μB).
Element x y z (fractional)
Cr 0.000 0.000 0.000  0.72
Cr 0.750 0.250 0.500  0.72
C 0.500 0.500 0.000  -0.04
C 0.250 0.750 0.500  -0.04
Se 0.593 0.125 0.250  -0.04
Se 0.157 0.625 0.250  -0.04
Se 0.375 0.407 0.750  -0.04
Se 0.875 0.843 0.750  -0.04

Properties
space-group type	I-42d (122)
uncorrected formation energy	1.013	eV per atom

---

(8)
First-principles (PBE) data for BaTaBr2 after structural relaxation, as listed in Alexandria via LeMat-Bulk.

Cell lengths 7.024, 7.024, 5.869 Å; angles 63.20, 63.20, 28.44 degrees
Each line ends with the local moment (μB).
Element x y z (fractional)
Ba 0.182 0.182 0.264  0.01
Br 0.037 0.037 0.912  0.01
Br 0.824 0.824 0.622  0.00
Ta 0.457 0.457 0.702  0.19

Properties
energy above the most stable polymorph in this dataset	63	meV per atom
space-group type	Cm (8)
uncorrected formation energy	-0.164	eV per atom

---

(9)
First-principles (PBE) data for KSmCdPb after structural relaxation, as listed in Alexandria via LeMat-Bulk.

Cell lengths 5.612, 5.612, 5.612 Å; angles 60.00, 60.00, 60.00 degrees
Element x y z (fractional)
Pb 0.250 0.250 0.250
K 0.000 0.000 0.000
Sm 0.500 0.500 0.500
Cd 0.750 0.750 0.750

Properties
space-group type	F-43m (216)
formation enthalpy at 0 K	-62.5	kJ/mol of formula units

---

(10)
First-principles (PBE) data for CsSm2N after structural relaxation, as listed in Alexandria via LeMat-Bulk.

Cell lengths 3.660, 3.660, 10.841 Å; angles 80.28, 80.28, 60.00 degrees
Each line ends with the local moment (μB).
Element x y z (fractional)
Cs 0.000 0.000 0.000  0.02
Sm 0.124 0.124 0.627  0.11
Sm 0.876 0.876 0.373  0.11
N 0.500 0.500 0.500  -0.01

Properties
space-group type	R-3m (166)
uncorrected formation energy	-0.429	eV per atom

---

(11)
First-principles (PBE) data for Ni2HgIr after structural relaxation, as listed in Alexandria via LeMat-Bulk.

Cell lengths 4.418, 2.757, 4.658 Å; angles 90.02, 90.00, 90.00 degrees
Element x y z (fractional)
Hg 0.000 0.625 0.438
Ir 0.500 0.625 0.833
Ni 0.000 0.125 0.937
Ni 0.500 0.125 0.292

Properties
space-group type	Pmm2 (25)
formation enthalpy at 0 K	100.0	kJ/mol of formula units

---

(12)
First-principles (PBE) data for Nb2Al2Ga3 after structural relaxation, as listed in Alexandria via LeMat-Bulk.

Cell lengths 3.757, 8.705, 3.902 Å; angles 77.07, 90.00, 102.48 degrees
Element x y z (fractional)
Nb 0.619 0.237 0.882
Nb 0.381 0.763 0.118
Al 0.885 0.770 0.615
Al 0.115 0.230 0.385
Ga 0.000 0.000 0.000
Ga 0.750 0.501 0.250
Ga 0.250 0.499 0.750

Properties
space-group type	Immm (71)
formation enthalpy at 0 K	-113.2	kJ/mol of formula units

---

What did the first record say?
First-principles (PBE) data for LaIn2Os after structural relaxation, as listed in Alexandria via LeMat-Bulk.

Cell lengths 5.059, 5.059, 5.059 Å; angles 120.34, 120.34, 89.42 degrees
Element x y z (fractional)
In 0.000 0.000 0.000
In 0.250 0.750 0.500
La 0.500 0.500 0.000
Os 0.750 0.250 0.500

Properties
space-group type	I-4m2 (119)
formation enthalpy at 0 K	70.9	kJ/mol of formula units